Entry 1:
AcSc2Pd2 | Alexandria via LeMat-Bulk | GGA-PBE | optimized geometry; formation energy = -3.37 eV/f.u.; DOS(E_F) = 5.97 states/eV/f.u.; SG = I4/mmm (139)
1.0
4.2210 0.0000 -1.5771
-0.5893 4.1796 -1.5771
0.1234 0.1421 6.7673
Ac Sc Pd
1 2 2
Direct
0.0000 0.0000 0.0000
0.7500 0.2500 0.5000
0.2500 0.7500 0.5000
0.6173 0.6173 0.2347
0.3827 0.3827 0.7653



Entry 2:
AcSc2Pd | Alexandria via LeMat-Bulk | GGA-PBE | optimized geometry; polymorph energy (0 for the lowest one) = 0.000 kcal/mol of atoms; formation energy = -1.34 eV/f.u.; DOS(E_F) = 5.39 states/eV/f.u.; SG = P4/mmm (123)
1.0
3.4807 0.0000 0.0000
0.0000 3.4807 0.0000
0.0000 0.0000 8.3842
Sc Ac Pd
2 1 1
Direct
0.0000 0.0000 0.8176
0.0000 0.0000 0.1824
0.5000 0.5000 0.5000
0.5000 0.5000 0.0000



Entry 3:
AcSc2Pd | Alexandria via LeMat-Bulk | GGA-PBE | optimized geometry; polymorph energy (0 for the lowest one) = 3.009 kcal/mol of atoms; formation energy = -0.82 eV/f.u.; DOS(E_F) = 4.38 states/eV/f.u.; SG = R-3m (166)
1.0
4.4688 0.0000 0.0000
2.2344 3.8701 0.0000
2.2344 1.2900 6.5456
Sc Ac Pd
2 1 1
Direct
0.7896 0.7896 0.6311
0.2104 0.2104 0.3689
0.0000 0.0000 0.0000
0.5000 0.5000 0.5000



Entry 4:
AcSc2Pd | Alexandria via LeMat-Bulk | GGA-PBE | optimized geometry; polymorph energy (0 for the lowest one) = 2.313 kcal/mol of atoms; formation energy = -0.94 eV/f.u.; DOS(E_F) = 5.37 states/eV/f.u.; SG = R3m (160)
1.0
3.9339 0.0000 0.0000
1.9670 3.4069 0.0000
1.9670 1.1356 8.5382
Ac Sc Pd
1 2 1
Direct
0.5010 0.5010 0.4970
0.0541 0.0541 0.8376
0.2786 0.2786 0.1642
0.6663 0.6663 0.0012



Entry 5:
AcScPd | Alexandria via LeMat-Bulk | GGA-PBE | optimized geometry; polymorph energy (0 for the lowest one) = 0.000 kcal/mol of atoms; formation energy = -1.75 eV/f.u.; DOS(E_F) = 2.98 states/eV/f.u.; SG = P4/nmm (129)
1.0
4.7672 -0.2288 0.0890
0.2280 4.7673 0.0892
-0.1381 -0.1260 7.0926
Ac Sc Pd
2 2 2
Direct
0.8136 0.8665 0.5442
0.3136 0.3665 0.2950
0.8136 0.3665 0.9196
0.3136 0.8665 0.9196
0.8136 0.8665 0.1170
0.3135 0.3664 0.7222



Entry 6:
AcScPd | Alexandria via LeMat-Bulk | GGA-PBE | optimized geometry; polymorph energy (0 for the lowest one) = 0.919 kcal/mol of atoms; formation energy = -1.63 eV/f.u.; DOS(E_F) = 3.19 states/eV/f.u.; SG = C2/m (12)
1.0
-2.0698 -2.0714 -3.0043
-5.0277 -3.6131 3.0293
-5.4980 3.1226 -1.2962
Pd Sc Ac
2 2 2
Direct
0.1427 0.3039 0.4113
0.8573 0.6961 0.5887
0.8075 0.0865 0.2985
0.1925 0.9135 0.7015
0.5737 0.6738 0.1781
0.4263 0.3262 0.8219



Entry 7:
AcScPd4 | Alexandria via LeMat-Bulk | GGA-PBE | optimized geometry; formation energy = -4.07 eV/f.u.; DOS(E_F) = 2.02 states/eV/f.u.; SG = F-43m (216)
1.0
5.5085 0.0000 0.0000
2.7543 4.7705 0.0000
2.7543 1.5902 4.4977
Sc Ac Pd
1 1 4
Direct
0.2500 0.2500 0.2500
0.0000 0.0000 0.0000
0.6243 0.6243 0.1271
0.6243 0.1271 0.6243
0.6243 0.6243 0.6243
0.1271 0.6243 0.6243



Entry 8:
AcScPd2 | Alexandria via LeMat-Bulk | GGA-PBE | optimized geometry; polymorph energy (0 for the lowest one) = 3.054 kcal/mol of atoms; formation energy = -2.62 eV/f.u.; DOS(E_F) = 3.25 states/eV/f.u.; SG = P4/mmm (123)
1.0
-3.3360 1.0190 -0.4636
-1.3858 -4.8586 -0.7073
-0.8450 -0.4880 5.0075
Sc Ac Pd
1 1 2
Direct
0.5000 0.5000 0.5000
0.5000 0.0000 0.0000
0.0000 0.0000 0.5000
0.0000 0.5000 0.0000